BiMoP2O: optimized geometry, PBE+U.

Cell: 5.252 5.252 4.158 Å, 90.00 90.00 90.00°
Last column: magnetic moment on the atom in μB.
Element x y z (fractional)
P: 0.000 0.500 0.000  -0.35
P: 0.500 0.000 0.000  -0.35
Mo: 0.500 0.500 0.500  3.78
Bi: 0.000 0.000 0.000  0.03
O: 0.000 0.000 0.500  -0.07

## Properties
Relative energy among the computed polymorphs in meV per atom: 934.5
Electronic total energy in eV per atom: -4.477